VASP calculation (PBEsol) on SrAsS3 after structural relaxation.

- DOS(E_F): 0.57 states/eV per atom
- Energy relative to the elements, uncorrected: -3.659 eV per formula unit
- Uncorrected energy: -4.75 eV per atom

Cell lengths 4.7847, 4.7847, 4.7847 Å; angles 90.00, 90.00, 90.00 degrees
Closest atoms and distances in Å follow each position.
Sites, in units of the cell vectors:
S1 0.0000 0.5000 0.0000  2 As 2.39
S2 0.0000 0.0000 0.5000  2 As 2.39
S3 0.5000 0.0000 0.0000  2 As 2.39
As1 0.0000 0.0000 0.0000  6 S 2.39
Sr1 0.5000 0.5000 0.5000  12 S 3.38

***

VASP calculation (PBEsol) on BeCdTeN2 after structural relaxation.

- Polymorph energy (0 for the lowest one): 0.404 eV/atom
- DOS(E_F): 0.42 states/eV per atom
- Energy relative to the elements, uncorrected: 9.426 eV per formula unit
- Uncorrected energy: -3.27 eV per atom

Cell lengths 4.0752, 4.0752, 6.2287 Å; angles 90.00, 90.00, 90.00 degrees
Closest atoms and distances in Å follow each position.
Sites, in units of the cell vectors:
Be1 0.5000 0.5000 0.5000  4 Te 2.88
N1 0.5000 0.0000 0.0000  2 Cd 2.04
N2 0.0000 0.5000 0.0000  2 Cd 2.04
Cd1 0.0000 0.0000 0.0000  4 N 2.04
Te1 0.0000 0.0000 0.5000  4 Be 2.88, 2 Cd 3.11

***

VASP calculation (PBEsol) on K6Co2O5 after structural relaxation.

- DOS(E_F): 0.52 states/eV per atom
- Energy relative to the elements, uncorrected: -14.430 eV per formula unit
- Uncorrected energy: -4.84 eV per atom

Cell lengths 6.5520, 6.5520, 11.6558 Å; angles 90.00, 90.00, 90.00 degrees
Closest atoms and distances in Å follow each position.
Sites, in units of the cell vectors:
O1 0.2061 0.7939 0.1349  1 Co 1.81
O2 0.7939 0.2061 0.8651  1 Co 1.81
O3 0.2939 0.2939 0.6349  1 Co 1.81
O4 0.7061 0.7061 0.6349  1 Co 1.81
O5 0.2939 0.2939 0.3651  1 Co 1.81
O6 0.2061 0.7939 0.8651  1 Co 1.81
O7 0.7061 0.7061 0.3651  1 Co 1.81
O8 0.7939 0.2061 0.1349  1 Co 1.81
O9 0.5000 0.5000 0.0000  2 Co 1.83
O10 0.0000 0.0000 0.5000  2 Co 1.83
K1 0.6749 0.3251 0.5000  5 O 2.96-3.01, 2 Co 3.24, 1 K 3.24
K2 0.5000 0.0000 0.7500  4 O 2.71
K3 0.0000 0.0000 0.2795  3 O 2.55-2.57
K4 0.3251 0.6749 0.5000  5 O 2.96-3.01, 2 Co 3.24, 1 K 3.24
K5 0.0000 0.5000 0.2500  4 O 2.71
K6 0.0000 0.5000 0.7500  4 O 2.71
K7 0.5000 0.5000 0.7795  3 O 2.55-2.57
K8 0.8251 0.8251 0.0000  5 O 2.96-3.01, 2 Co 3.24, 1 K 3.24
K9 0.5000 0.0000 0.2500  4 O 2.71
K10 0.0000 0.0000 0.7205  3 O 2.55-2.57
K11 0.1749 0.1749 0.0000  5 O 2.96-3.01, 2 Co 3.24, 1 K 3.24
K12 0.5000 0.5000 0.2205  3 O 2.55-2.57
Co1 0.3022 0.6978 0.0000  3 O 1.81-1.83
Co2 0.1978 0.1978 0.5000  3 O 1.81-1.83
Co3 0.8022 0.8022 0.5000  3 O 1.81-1.83
Co4 0.6978 0.3022 0.0000  3 O 1.81-1.83

***

VASP calculation (PBEsol) on NbOF3 after structural relaxation.

- DOS(E_F): 0.00 states/eV per atom
- Energy relative to the elements, uncorrected: -14.216 eV per formula unit
- Uncorrected energy: -7.21 eV per atom

Cell lengths 3.8283, 8.7330, 8.7330 Å; angles 90.00, 90.00, 90.00 degrees
Closest atoms and distances in Å follow each position.
Sites, in units of the cell vectors:
O1 0.5000 0.6212 0.3788  2 Nb 1.93
O2 0.5000 0.3788 0.6212  2 Nb 1.93
O3 0.0000 0.1212 0.1212  2 Nb 1.93
O4 0.0000 0.8788 0.8788  2 Nb 1.93
F1 0.5000 0.3519 0.1170  1 Nb 1.86
F2 0.5000 0.9001 0.0999  2 Nb 2.12
F3 0.5000 0.1170 0.3519  1 Nb 1.86
F4 0.0000 0.1481 0.6170  1 Nb 1.86
F5 0.0000 0.6170 0.1481  1 Nb 1.86
F6 0.0000 0.3830 0.8519  1 Nb 1.86
F7 0.0000 0.5999 0.5999  2 Nb 2.12
F8 0.0000 0.4001 0.4001  2 Nb 2.12
F9 0.5000 0.6481 0.8830  1 Nb 1.86
F10 0.5000 0.8830 0.6481  1 Nb 1.86
F11 0.0000 0.8519 0.3830  1 Nb 1.86
F12 0.5000 0.0999 0.9001  2 Nb 2.12
Nb1 0.0000 0.3601 0.6399  2 F 1.86, 2 O 1.93
Nb2 0.5000 0.1399 0.1399  2 F 1.86, 2 O 1.93
Nb3 0.0000 0.6399 0.3601  2 F 1.86, 2 O 1.93
Nb4 0.5000 0.8601 0.8601  2 F 1.86, 2 O 1.93